! PmMoAsO5 (GGA+U, relaxed); values from VASP
&SYSTEM
  ibrav = 0, nat = 16, ntyp = 4
/
ATOMIC_SPECIES
Pm 145.00 Pm.upf
Mo 95.94 Mo.upf
As 74.92 As.upf
O 16.00 O.upf
CELL_PARAMETERS angstrom
-1.658 -1.898 -5.303
1.828 -4.528 3.261
-7.331 1.623 3.482
ATOMIC_POSITIONS crystal
Pm 0.000 0.000 0.500
Pm 0.000 0.000 0.000
Mo 0.316 0.684 0.250
Mo 0.684 0.316 0.750
As 0.685 0.315 0.250
As 0.315 0.685 0.750
O 0.101 0.899 0.250
O 0.899 0.101 0.750
O 0.950 0.349 0.175
O 0.050 0.651 0.825
O 0.651 0.050 0.325
O 0.349 0.950 0.675
O 0.723 0.566 0.412
O 0.277 0.434 0.588
O 0.434 0.277 0.088
O 0.566 0.723 0.912
! - final energy (eV/atom) = -6.986